Record 1
A plane-wave DFT calculation with PBE-GGA was carried out for TePN2Cl after structural relaxation.

Cell: 3.637 3.637 5.777 Å, 90.00 90.00 90.00°
Sites, in units of the cell vectors:
Te: 0.000 0.000 0.000
P: 0.000 0.000 0.500
N: 0.000 0.500 0.500
N: 0.500 0.000 0.500
Cl: 0.500 0.500 0.000

---

Record 2
A plane-wave DFT calculation with PBE-GGA was carried out for TiPNCl2 after structural relaxation.

Cell: 4.737 4.737 4.979 Å, 90.00 90.00 90.00°
Sites, in units of the cell vectors:
Ti: 0.000 0.000 0.000
P: 0.000 0.000 0.500
N: 0.500 0.500 0.500
Cl: 0.000 0.500 0.000
Cl: 0.500 0.000 0.000

---

Record 3
A plane-wave DFT calculation with PBE-GGA was carried out for TiPNCl2 after structural relaxation.

Cell: 4.151 4.151 4.535 Å, 90.00 90.00 90.00°
Sites, in units of the cell vectors:
Ti: 0.000 0.000 0.000
P: 0.500 0.500 0.000
N: 0.500 0.500 0.500
Cl: 0.000 0.500 0.500
Cl: 0.500 0.000 0.500

---

no.,DFT total energy (eV/atom),energy above the most stable polymorph in this dataset (meV per atom)
1,-4.325,0
2,-4.577,0
3,-4.239,337